Record 1
# LiMgSc2Co | the Alexandria database | PBE-GGA | optimized geometry
# - E_tot: -4.645 eV per atom
data_LiMgSc2Co
_symmetry_space_group_name_H-M 'P 4/m m m'
_symmetry_Int_Tables_number 123
_symmetry_space_group_name_Hall '-P 4 2'
_cell_length_a 4.7530
_cell_length_b 4.7530
_cell_length_c 5.0344
_cell_angle_alpha 90.00
_cell_angle_beta 90.00
_cell_angle_gamma 90.00
loop_
_atom_site_label
_atom_site_type_symbol
_atom_site_fract_x
_atom_site_fract_y
_atom_site_fract_z
Li1 Li 0.0000 0.0000 0.0000
Mg1 Mg 0.5000 0.5000 0.0000
Sc1 Sc 0.0000 0.5000 0.5000
Co1 Co 0.5000 0.5000 0.5000

=====

Record 2
# LiMg2CoSe | the Alexandria database | PBE-GGA | optimized geometry
# - E_tot: -3.159 eV per atom
# - Formation energy (no corrections): -20 meV/atom
data_LiMg2CoSe
_symmetry_space_group_name_H-M 'P 4/m m m'
_symmetry_Int_Tables_number 123
_symmetry_space_group_name_Hall '-P 4 2'
_cell_length_a 4.9103
_cell_length_b 4.9103
_cell_length_c 4.4222
_cell_angle_alpha 90.00
_cell_angle_beta 90.00
_cell_angle_gamma 90.00
loop_
_atom_site_label
_atom_site_type_symbol
_atom_site_fract_x
_atom_site_fract_y
_atom_site_fract_z
Li1 Li 0.0000 0.0000 0.0000
Mg1 Mg 0.0000 0.5000 0.5000
Co1 Co 0.5000 0.5000 0.5000
Se1 Se 0.5000 0.5000 0.0000

=====

Record 3
# LiSmMgCo | the Alexandria database | PBE-GGA | optimized geometry
# - E_tot: -3.791 eV per atom
data_LiSmMgCo
_symmetry_space_group_name_H-M 'F -4 3 m'
_symmetry_Int_Tables_number 216
_symmetry_space_group_name_Hall 'F -4 2 3'
_cell_length_a 6.7094
_cell_length_b 6.7094
_cell_length_c 6.7094
_cell_angle_alpha 90.00
_cell_angle_beta 90.00
_cell_angle_gamma 90.00
loop_
_atom_site_label
_atom_site_type_symbol
_atom_site_fract_x
_atom_site_fract_y
_atom_site_fract_z
Li1 Li 0.0000 0.0000 0.0000
Sm1 Sm 0.2500 0.2500 0.7500
Mg1 Mg 0.2500 0.2500 0.2500
Co1 Co 0.0000 0.0000 0.5000

=====

Record 4
# SrLiMg2Co | the Alexandria database | PBE-GGA | optimized geometry
# - E_tot: -2.606 eV per atom
data_SrLiMg2Co
_symmetry_space_group_name_H-M 'P 4/m m m'
_symmetry_Int_Tables_number 123
_symmetry_space_group_name_Hall '-P 4 2'
_cell_length_a 4.9494
_cell_length_b 4.9494
_cell_length_c 4.9577
_cell_angle_alpha 90.00
_cell_angle_beta 90.00
_cell_angle_gamma 90.00
loop_
_atom_site_label
_atom_site_type_symbol
_atom_site_fract_x
_atom_site_fract_y
_atom_site_fract_z
Sr1 Sr 0.0000 0.0000 0.0000
Li1 Li 0.5000 0.5000 0.0000
Mg1 Mg 0.0000 0.5000 0.5000
Co1 Co 0.5000 0.5000 0.5000

=====

Record 5
# LiMg2TaCo | the Alexandria database | PBE-GGA | optimized geometry
# - E_tot: -3.993 eV per atom
data_LiMg2TaCo
_symmetry_space_group_name_H-M 'P 4/m m m'
_symmetry_Int_Tables_number 123
_symmetry_space_group_name_Hall '-P 4 2'
_cell_length_a 4.3316
_cell_length_b 4.3316
_cell_length_c 4.2295
_cell_angle_alpha 90.00
_cell_angle_beta 90.00
_cell_angle_gamma 90.00
loop_
_atom_site_label
_atom_site_type_symbol
_atom_site_fract_x
_atom_site_fract_y
_atom_site_fract_z
Li1 Li 0.0000 0.0000 0.0000
Mg1 Mg 0.0000 0.5000 0.0000
Ta1 Ta 0.5000 0.5000 0.5000
Co1 Co 0.0000 0.0000 0.5000

=====

Record 6
# LiTbMgCo | the Alexandria database | PBE-GGA | optimized geometry
# - E_tot: -3.795 eV per atom
data_LiTbMgCo
_symmetry_space_group_name_H-M 'F -4 3 m'
_symmetry_Int_Tables_number 216
_symmetry_space_group_name_Hall 'F -4 2 3'
_cell_length_a 6.6420
_cell_length_b 6.6420
_cell_length_c 6.6420
_cell_angle_alpha 90.00
_cell_angle_beta 90.00
_cell_angle_gamma 90.00
loop_
_atom_site_label
_atom_site_type_symbol
_atom_site_fract_x
_atom_site_fract_y
_atom_site_fract_z
Li1 Li 0.0000 0.0000 0.0000
Tb1 Tb 0.2500 0.2500 0.2500
Mg1 Mg 0.2500 0.2500 0.7500
Co1 Co 0.0000 0.0000 0.5000

=====

Record 7
# LiMgTlCo | the Alexandria database | PBE-GGA | optimized geometry
# - E_tot: -3.196 eV per atom
data_LiMgTlCo
_symmetry_space_group_name_H-M 'F -4 3 m'
_symmetry_Int_Tables_number 216
_symmetry_space_group_name_Hall 'F -4 2 3'
_cell_length_a 6.3730
_cell_length_b 6.3730
_cell_length_c 6.3730
_cell_angle_alpha 90.00
_cell_angle_beta 90.00
_cell_angle_gamma 90.00
loop_
_atom_site_label
_atom_site_type_symbol
_atom_site_fract_x
_atom_site_fract_y
_atom_site_fract_z
Li1 Li 0.0000 0.0000 0.0000
Mg1 Mg 0.2500 0.2500 0.2500
Tl1 Tl 0.2500 0.2500 0.7500
Co1 Co 0.0000 0.0000 0.5000

=====

Record 8
# LiMg2TlCo | the Alexandria database | PBE-GGA | optimized geometry
# - E_tot: -2.365 eV per atom
data_LiMg2TlCo
_symmetry_space_group_name_H-M 'P 4/m m m'
_symmetry_Int_Tables_number 123
_symmetry_space_group_name_Hall '-P 4 2'
_cell_length_a 4.8502
_cell_length_b 4.8502
_cell_length_c 4.2558
_cell_angle_alpha 90.00
_cell_angle_beta 90.00
_cell_angle_gamma 90.00
loop_
_atom_site_label
_atom_site_type_symbol
_atom_site_fract_x
_atom_site_fract_y
_atom_site_fract_z
Li1 Li 0.0000 0.0000 0.0000
Mg1 Mg 0.0000 0.5000 0.0000
Tl1 Tl 0.5000 0.5000 0.5000
Co1 Co 0.0000 0.0000 0.5000